#A
Density functional theory data (PBE) for crystalline Ho2PaCd at its relaxed geometry.

Summary:
DOS at the Fermi energy = 19.3 states/eV/cell

Structure (CIF):
```
data_Ho2PaCd
_cell_length_a 3.2527
_cell_length_b 3.2527
_cell_length_c 35.5422
_cell_angle_alpha 90.00
_cell_angle_beta 90.00
_cell_angle_gamma 120.00
_symmetry_space_group_name_H-M 'R -3 m'
_symmetry_Int_Tables_number 166
_symmetry_space_group_name_Hall '-R 3 2"'
loop_
_atom_site_label
_atom_site_fract_x
_atom_site_fract_y
_atom_site_fract_z
Ho1 0.0000 0.0000 0.0907
Pa1 0.0000 0.0000 0.0000
Cd1 0.0000 0.0000 0.5000
```

=====

#B
Density functional theory data (PBE) for crystalline Ho2PaCd at its relaxed geometry.

Summary:
DOS at the Fermi energy = 7.8 states/eV/cell

Structure (CIF):
```
data_Ho2PaCd
_cell_length_a 4.858
_cell_length_b 4.858
_cell_length_c 4.526
_cell_angle_alpha 90.00
_cell_angle_beta 90.00
_cell_angle_gamma 90.00
_symmetry_space_group_name_H-M 'P 4/m m m'
_symmetry_Int_Tables_number 123
_symmetry_space_group_name_Hall '-P 4 2'
loop_
_atom_site_label
_atom_site_fract_x
_atom_site_fract_y
_atom_site_fract_z
Ho1 0.000 0.500 0.000
Pa1 0.000 0.000 0.500
Cd1 0.500 0.500 0.500
```

=====

#C
Density functional theory data (PBE) for crystalline Ho2PaCd at its relaxed geometry.

Summary:
DOS at the Fermi energy = 4.3 states/eV/cell

Structure (CIF):
```
data_Ho2PaCd
_cell_length_a 3.415
_cell_length_b 3.415
_cell_length_c 9.143
_cell_angle_alpha 90.00
_cell_angle_beta 90.00
_cell_angle_gamma 90.00
_symmetry_space_group_name_H-M 'P 4/m m m'
_symmetry_Int_Tables_number 123
_symmetry_space_group_name_Hall '-P 4 2'
loop_
_atom_site_label
_atom_site_fract_x
_atom_site_fract_y
_atom_site_fract_z
Ho1 0.000 0.000 0.240
Pa1 0.500 0.500 0.500
Cd1 0.500 0.500 0.000
```

=====

Which of them is most stable, and which least? Most stable: #C; least stable: #A.

=====

#A
Density functional theory data (PBE) for crystalline HoCd4Pb at its relaxed geometry.

Summary:
DOS at the Fermi energy = 7.5 states/eV/cell

Structure (CIF):
```
data_HoCd4Pb
_cell_length_a 6.524
_cell_length_b 17.831
_cell_length_c 5.079
_cell_angle_alpha 90.00
_cell_angle_beta 90.00
_cell_angle_gamma 90.00
_symmetry_space_group_name_H-M 'C m c m'
_symmetry_Int_Tables_number 63
_symmetry_space_group_name_Hall '-C 2c 2'
loop_
_atom_site_label
_atom_site_fract_x
_atom_site_fract_y
_atom_site_fract_z
Ho1 0.000 0.123 0.250
Cd1 0.235 0.043 0.750
Cd2 0.245 0.210 0.750
Pb1 0.000 0.381 0.750
```

=====

#B
Density functional theory data (PBE) for crystalline HoCd4Pb at its relaxed geometry.

Summary:
DOS at the Fermi energy = 8.2 states/eV/cell

Structure (CIF):
```
data_HoCd4Pb
_cell_length_a 8.435
_cell_length_b 8.435
_cell_length_c 8.435
_cell_angle_alpha 90.00
_cell_angle_beta 90.00
_cell_angle_gamma 90.00
_symmetry_space_group_name_H-M 'F -4 3 m'
_symmetry_Int_Tables_number 216
_symmetry_space_group_name_Hall 'F -4 2 3'
loop_
_atom_site_label
_atom_site_fract_x
_atom_site_fract_y
_atom_site_fract_z
Ho1 0.000 0.000 0.000
Cd1 0.125 0.125 0.625
Pb1 0.250 0.250 0.250
```

=====

Which of them is most stable, and which least? Most stable: #A; least stable: #B.

=====

#A
Density functional theory data (PBE) for crystalline Ho2CdPd3 at its relaxed geometry.

Summary:
DOS at the Fermi energy = 6.8 states/eV/cell

Structure (CIF):
```
data_Ho2CdPd3
_cell_length_a 4.8485
_cell_length_b 4.8485
_cell_length_c 11.7987
_cell_angle_alpha 90.00
_cell_angle_beta 90.00
_cell_angle_gamma 120.00
_symmetry_space_group_name_H-M 'P -3 m 1'
_symmetry_Int_Tables_number 164
_symmetry_space_group_name_Hall '-P 3 2"'
loop_
_atom_site_label
_atom_site_fract_x
_atom_site_fract_y
_atom_site_fract_z
Ho1 0.0000 0.0000 0.0000
Ho2 0.0000 0.0000 0.5000
Ho3 0.3333 0.6667 0.1800
Cd1 0.3333 0.6667 0.6672
Pd1 0.0000 0.0000 0.2485
Pd2 0.3333 0.6667 0.4239
Pd3 0.3333 0.6667 0.9207
```

=====

#B
Density functional theory data (PBE) for crystalline Ho2CdPd3 at its relaxed geometry.

Summary:
DOS at the Fermi energy = 8.1 states/eV/cell

Structure (CIF):
```
data_Ho2CdPd3
_cell_length_a 12.546
_cell_length_b 7.609
_cell_length_c 5.644
_cell_angle_alpha 90.00
_cell_angle_beta 90.00
_cell_angle_gamma 90.00
_symmetry_space_group_name_H-M 'C m c m'
_symmetry_Int_Tables_number 63
_symmetry_space_group_name_Hall '-C 2c 2'
loop_
_atom_site_label
_atom_site_fract_x
_atom_site_fract_y
_atom_site_fract_z
Ho1 0.166 0.174 0.250
Cd1 0.000 0.319 0.750
Pd1 0.000 0.000 0.000
Pd2 0.165 0.500 0.000
```

=====

Which of them is most stable, and which least? Most stable: #A; least stable: #B.

=====

#A
Density functional theory data (PBE) for crystalline Ho3CdPd6 at its relaxed geometry.

Summary:
DOS at the Fermi energy = 15.6 states/eV/cell

Structure (CIF):
```
data_Ho3CdPd6
_cell_length_a 10.962
_cell_length_b 16.574
_cell_length_c 4.449
_cell_angle_alpha 90.00
_cell_angle_beta 90.00
_cell_angle_gamma 90.00
_symmetry_space_group_name_H-M 'C m c 21'
_symmetry_Int_Tables_number 36
loop_
_symmetry_equiv_pos_as_xyz
'x,y,z'
'-x,-y,z+1/2'
'-x,y,z'
'x,-y,z+1/2'
'x+1/2,y+1/2,z'
'-x+1/2,-y+1/2,z+1/2'
'-x+1/2,y+1/2,z'
'x+1/2,-y+1/2,z+1/2'
loop_
_atom_site_label
_atom_site_fract_x
_atom_site_fract_y
_atom_site_fract_z
Ho1 0.000 0.090 0.000
Ho2 0.170 0.396 0.501
Cd1 0.000 0.289 0.000
Pd1 0.000 0.192 0.500
Pd2 0.000 0.453 0.001
Pd3 0.168 0.050 0.500
Pd4 0.243 0.205 0.503
```

=====

#B
Density functional theory data (PBE) for crystalline Ho3CdPd6 at its relaxed geometry.

Summary:
DOS at the Fermi energy = 8.6 states/eV/cell

Structure (CIF):
```
data_Ho3CdPd6
_cell_length_a 8.053
_cell_length_b 4.903
_cell_length_c 10.354
_cell_angle_alpha 90.00
_cell_angle_beta 111.80
_cell_angle_gamma 90.00
_symmetry_space_group_name_H-M 'P 1 21/m 1'
_symmetry_Int_Tables_number 11
loop_
_symmetry_equiv_pos_as_xyz
'x,y,z'
'-x,-y,-z'
'-x,y+1/2,-z'
'x,-y+1/2,z'
loop_
_atom_site_label
_atom_site_fract_x
_atom_site_fract_y
_atom_site_fract_z
Ho1 0.051 0.250 0.213
Ho2 0.308 0.250 0.014
Ho3 0.350 0.750 0.380
Cd1 0.124 0.750 0.569
Pd1 0.099 0.250 0.719
Pd2 0.116 0.750 0.082
Pd3 0.275 0.250 0.520
Pd4 0.314 0.750 0.860
Pd5 0.487 0.250 0.321
Pd6 0.491 0.250 0.827
```

=====

Which of them is most stable, and which least? Most stable: #B; least stable: #A.